Record 1
Entry from the Alexandria database: a relaxed ZnSbPH crystal (PBE-GGA).

a b c (Å): 4.168 3.730 5.499
angles (deg): 90.00 112.12 90.00
Atoms (fractional coordinates):
Zn  0.000  0.000  0.000
Sb  0.728  0.500  0.582
P  0.604  0.000  0.215
H  0.294  0.500  0.558

Properties
Symmetry   Pm, No. 6
Excess energy over the best structure of this formula in the dataset   132 meV/atom
N(E_F)   0.65 states/eV/cell

***

Record 2
Entry from the Alexandria database: a relaxed ZnSbPH crystal (PBE-GGA).

a b c (Å): 4.095 4.455 4.673
angles (deg): 91.32 115.98 91.15
Atoms (fractional coordinates):
Zn  0.000  0.000  0.000
Sb  0.386  0.453  0.434
P  0.487  0.722  0.981
H  0.814  0.259  0.655

Properties
Symmetry   P1, No. 1
Excess energy over the best structure of this formula in the dataset   191 meV/atom
N(E_F)   1.01 states/eV/cell

***

Record 3
Entry from the Alexandria database: a relaxed ZnSbPH crystal (PBE-GGA).

a b c (Å): 4.618 4.618 5.713
angles (deg): 112.13 112.13 47.73
Atoms (fractional coordinates):
Zn  0.000  0.000  0.000
Sb  0.343  0.343  0.252
P  0.382  0.382  0.718
H  0.202  0.202  0.666

Properties
Symmetry   Cm, No. 8
Excess energy over the best structure of this formula in the dataset   28 meV/atom
N(E_F)   0.90 states/eV/cell

***

Record 4
Entry from the Alexandria database: a relaxed Zr4SbP2H crystal (PBE-GGA).

a b c (Å): 6.524 6.524 12.437
angles (deg): 90.00 90.00 145.85
Atoms (fractional coordinates):
Zr  0.000  0.000  0.000
Zr  0.000  0.000  0.500
Zr  0.259  0.741  0.615
Zr  0.259  0.741  0.885
Zr  0.433  0.567  0.250
Zr  0.567  0.433  0.750
Zr  0.741  0.259  0.115
Zr  0.741  0.259  0.385
Sb  0.109  0.891  0.250
Sb  0.891  0.109  0.750
P  0.367  0.633  0.058
P  0.367  0.633  0.442
P  0.633  0.367  0.558
P  0.633  0.367  0.942
H  0.158  0.842  0.750
H  0.842  0.158  0.250

Properties
Total energy   -7.5666 eV/atom
Symmetry   Cmcm, No. 63
N(E_F)   7.80 states/eV/cell

***

Record 5
Entry from the Alexandria database: a relaxed ScPH crystal (PBE-GGA).

a b c (Å): 6.607 6.607 3.523
angles (deg): 104.54 104.54 32.95
Atoms (fractional coordinates):
Sc  0.000  0.000  0.000
Sc  0.246  0.246  0.749
P  0.587  0.587  0.532
P  0.838  0.838  0.343
H  0.164  0.164  0.158
H  0.496  0.496  0.717

Properties
Symmetry   Cm, No. 8
Excess energy over the best structure of this formula in the dataset   49 meV/atom
N(E_F)   0.48 states/eV/cell

***

Record 6
Entry from the Alexandria database: a relaxed Sc5P2H crystal (PBE-GGA).

a b c (Å): 7.320 10.152 3.690
angles (deg): 90.00 90.00 90.00
Atoms (fractional coordinates):
Sc  0.000  0.000  0.000
Sc  0.131  0.309  0.000
Sc  0.190  0.565  0.500
Sc  0.310  0.065  0.500
Sc  0.369  0.809  0.000
Sc  0.500  0.500  0.000
Sc  0.631  0.191  0.000
Sc  0.690  0.935  0.500
Sc  0.810  0.435  0.500
Sc  0.869  0.691  0.000
P  0.087  0.825  0.500
P  0.413  0.325  0.500
P  0.587  0.675  0.500
P  0.913  0.175  0.500
H  0.000  0.500  0.000
H  0.500  0.000  0.000

Properties
Total energy   -6.5804 eV/atom
Symmetry   Pbam, No. 55
N(E_F)   18.15 states/eV/cell

***

Record 7
Entry from the Alexandria database: a relaxed Sc3PH crystal (PBE-GGA).

a b c (Å): 6.630 3.522 7.266
angles (deg): 90.00 96.90 90.00
Atoms (fractional coordinates):
Sc  0.080  0.250  0.337
Sc  0.290  0.250  0.965
Sc  0.373  0.750  0.621
Sc  0.627  0.250  0.379
Sc  0.710  0.750  0.035
Sc  0.920  0.750  0.663
P  0.362  0.750  0.242
P  0.638  0.250  0.758
H  0.154  0.250  0.641
H  0.846  0.750  0.359

Properties
Symmetry   P2_1/m, No. 11
Excess energy over the best structure of this formula in the dataset   0 meV/atom
N(E_F)   12.03 states/eV/cell

***

Record 8
Entry from the Alexandria database: a relaxed ScPH crystal (PBE-GGA).

a b c (Å): 6.963 6.963 6.963
angles (deg): 31.22 31.22 31.22
Atoms (fractional coordinates):
Sc  0.000  0.000  0.000
Sc  0.177  0.177  0.177
P  0.582  0.582  0.582
P  0.766  0.766  0.766
H  0.339  0.339  0.339
H  0.691  0.691  0.691

Properties
Symmetry   R3m, No. 160
Excess energy over the best structure of this formula in the dataset   55 meV/atom
N(E_F)   0.02 states/eV/cell

***

Record 9
Entry from the Alexandria database: a relaxed ScPH crystal (PBE-GGA).

a b c (Å): 6.733 6.733 3.611
angles (deg): 104.40 104.40 30.70
Atoms (fractional coordinates):
Sc  0.000  0.000  0.000
Sc  0.729  0.729  0.212
P  0.159  0.159  0.652
P  0.411  0.411  0.406
H  0.307  0.307  0.515
H  0.572  0.572  0.073

Properties
Symmetry   Cm, No. 8
Excess energy over the best structure of this formula in the dataset   38 meV/atom
N(E_F)   0.79 states/eV/cell

***

Record 10
Entry from the Alexandria database: a relaxed ScPH crystal (PBE-GGA).

a b c (Å): 5.495 5.495 5.495
angles (deg): 146.63 117.69 72.55
Atoms (fractional coordinates):
Sc  0.159  0.159  0.000
Sc  0.841  0.841  0.000
P  0.380  0.880  0.500
P  0.620  0.120  0.500
H  0.157  0.500  0.657
H  0.843  0.500  0.343

Properties
Symmetry   Immm, No. 71
Excess energy over the best structure of this formula in the dataset   494 meV/atom
N(E_F)   0.95 states/eV/cell

***

Record 11
Entry from the Alexandria database: a relaxed ScPH crystal (PBE-GGA).

a b c (Å): 3.669 3.700 7.148
angles (deg): 75.88 75.25 60.72
Atoms (fractional coordinates):
Sc  0.000  0.000  0.000
Sc  0.185  0.180  0.449
P  0.471  0.336  0.734
P  0.602  0.589  0.208
H  0.289  0.788  0.730
H  0.857  0.812  0.482

Properties
Symmetry   P1, No. 1
Excess energy over the best structure of this formula in the dataset   0 meV/atom
N(E_F)   0.13 states/eV/cell

***

Record 12
Entry from the Alexandria database: a relaxed ScP2H crystal (PBE-GGA).

a b c (Å): 4.381 4.381 4.381
angles (deg): 60.00 60.00 60.00
Atoms (fractional coordinates):
Sc  0.000  0.000  0.000
P  0.250  0.250  0.250
P  0.750  0.750  0.750
H  0.500  0.500  0.500

Properties
Symmetry   Fm-3m, No. 225
Excess energy over the best structure of this formula in the dataset   499 meV/atom
N(E_F)   4.23 states/eV/cell

***

Record 13
Entry from the Alexandria database: a relaxed ScPH crystal (PBE-GGA).

a b c (Å): 3.652 3.573 6.184
angles (deg): 90.00 92.89 90.00
Atoms (fractional coordinates):
Sc  0.000  0.000  0.000
Sc  0.468  0.000  0.538
P  0.491  0.500  0.869
P  0.910  0.500  0.329
H  0.160  0.500  0.530
H  0.978  0.000  0.678

Properties
Symmetry   Pm, No. 6
Excess energy over the best structure of this formula in the dataset   29 meV/atom
N(E_F)   0.27 states/eV/cell

***

Record 14
Entry from the Alexandria database: a relaxed ScPH crystal (PBE-GGA).

a b c (Å): 3.649 3.649 7.263
angles (deg): 105.87 105.87 60.20
Atoms (fractional coordinates):
Sc  0.000  0.000  0.000
Sc  0.171  0.171  0.545
P  0.581  0.581  0.762
P  0.738  0.738  0.289
H  0.339  0.339  0.037
H  0.547  0.547  0.367

Properties
Symmetry   Cm, No. 8
Excess energy over the best structure of this formula in the dataset   14 meV/atom
N(E_F)   0.25 states/eV/cell

***

Record 15
Entry from the Alexandria database: a relaxed ScPH crystal (PBE-GGA).

a b c (Å): 3.745 3.755 7.047
angles (deg): 104.56 104.52 90.66
Atoms (fractional coordinates):
Sc  0.000  0.000  0.000
Sc  0.250  0.253  0.592
P  0.506  0.507  0.013
P  0.753  0.756  0.605
H  0.085  0.088  0.295
H  0.471  0.477  0.210

Properties
Symmetry   P1, No. 1
Excess energy over the best structure of this formula in the dataset   85 meV/atom
N(E_F)   0.21 states/eV/cell

***

Record 16
Entry from the Alexandria database: a relaxed Sc2PH2 crystal (PBE-GGA).

a b c (Å): 5.899 5.899 5.899
angles (deg): 146.96 146.96 47.43
Atoms (fractional coordinates):
Sc  0.135  0.135  0.000
Sc  0.865  0.865  0.000
P  0.500  0.500  0.000
H  0.250  0.750  0.500
H  0.750  0.250  0.500

Properties
Symmetry   I4/mmm, No. 139
Excess energy over the best structure of this formula in the dataset   0 meV/atom
N(E_F)   2.29 states/eV/cell

***

Record 17
Entry from the Alexandria database: a relaxed ScPH crystal (PBE-GGA).

a b c (Å): 3.655 3.655 6.921
angles (deg): 90.44 90.44 60.77
Atoms (fractional coordinates):
Sc  0.000  0.000  0.000
Sc  0.005  0.005  0.483
P  0.663  0.663  0.726
P  0.673  0.673  0.246
H  0.340  0.340  0.982
H  0.446  0.446  0.866

Properties
Symmetry   Cm, No. 8
Excess energy over the best structure of this formula in the dataset   103 meV/atom
N(E_F)   0.21 states/eV/cell

***

Record 18
Entry from the Alexandria database: a relaxed Sc2PH2 crystal (PBE-GGA).

a b c (Å): 6.201 5.525 5.473
angles (deg): 68.64 56.08 55.29
Atoms (fractional coordinates):
Sc  0.088  0.088  0.662
Sc  0.338  0.338  0.912
Sc  0.662  0.662  0.088
Sc  0.912  0.912  0.338
P  0.375  0.375  0.375
P  0.625  0.625  0.625
H  0.005  0.245  0.005
H  0.245  0.005  0.245
H  0.755  0.995  0.755
H  0.995  0.755  0.995

Properties
Symmetry   Fddd, No. 70
Excess energy over the best structure of this formula in the dataset   35 meV/atom
N(E_F)   5.19 states/eV/cell

***

Record 19
Entry from the Alexandria database: a relaxed ScPH crystal (PBE-GGA).

a b c (Å): 3.755 3.755 6.523
angles (deg): 90.00 90.00 120.00
Atoms (fractional coordinates):
Sc  0.000  0.000  0.250
Sc  0.000  0.000  0.750
P  0.333  0.667  0.000
P  0.667  0.333  0.500
H  0.667  0.333  0.239
H  0.667  0.333  0.761

Properties
Symmetry   P-6m2, No. 187
Excess energy over the best structure of this formula in the dataset   107 meV/atom
N(E_F)   0.51 states/eV/cell

***

Record 20
Entry from the Alexandria database: a relaxed ScPH crystal (PBE-GGA).

a b c (Å): 3.648 3.648 7.137
angles (deg): 102.06 102.06 60.83
Atoms (fractional coordinates):
Sc  0.000  0.000  0.000
Sc  0.126  0.126  0.475
P  0.392  0.392  0.225
P  0.586  0.586  0.750
H  0.379  0.379  0.812
H  0.799  0.799  0.484

Properties
Symmetry   Cm, No. 8
Excess energy over the best structure of this formula in the dataset   29 meV/atom
N(E_F)   0.28 states/eV/cell